1.
YTaBeFe: optimized geometry, PBE-GGA.

CIF file:
```
data_YTaBeFe
_chemical_formula_sum 'Y4 Ta4 Be4 Fe4'
_cell_length_a 6.4012
_cell_length_b 6.4012
_cell_length_c 6.4012
_cell_angle_alpha 90.00
_cell_angle_beta 90.00
_cell_angle_gamma 90.00
_space_group_name_H-M_alt 'F -4 3 m'
_space_group_IT_number 216
_space_group_name_Hall 'F -4 2 3'
loop_
_atom_site_label
_atom_site_type_symbol
_atom_site_fract_x
_atom_site_fract_y
_atom_site_fract_z
Y1 Y 0.0000 0.0000 0.0000
Ta1 Ta 0.0000 0.0000 0.5000
Be1 Be 0.2500 0.2500 0.2500
Fe1 Fe 0.2500 0.2500 0.7500
```

E_tot: -7.3628 eV/atom
Total magnetic moment: 0.18 μB/f.u.
Density: 8.48 g/cm³
Energy above the lowest structure with this stoichiometry: 0.0 meV/atom

2.
YTaBeFe: optimized geometry, PBE-GGA.

CIF file:
```
data_YTaBeFe
_chemical_formula_sum 'Y4 Ta4 Be4 Fe4'
_cell_length_a 6.2923
_cell_length_b 6.2923
_cell_length_c 6.2923
_cell_angle_alpha 90.00
_cell_angle_beta 90.00
_cell_angle_gamma 90.00
_space_group_name_H-M_alt 'F -4 3 m'
_space_group_IT_number 216
_space_group_name_Hall 'F -4 2 3'
loop_
_atom_site_label
_atom_site_type_symbol
_atom_site_fract_x
_atom_site_fract_y
_atom_site_fract_z
Y1 Y 0.0000 0.0000 0.0000
Ta1 Ta 0.2500 0.2500 0.7500
Be1 Be 0.2500 0.2500 0.2500
Fe1 Fe 0.0000 0.0000 0.5000
```

E_tot: -7.1726 eV/atom
Total magnetic moment: 0.00 μB/f.u.
Density: 8.92 g/cm³
Energy above the lowest structure with this stoichiometry: 190.2 meV/atom